Below is a relaxed Na2CdSnSe4 crystal, with properties calculated at the GGA-PBE level.

The energy is -54.79 eV for the cell shown. The volume is 510.6 Å³/cell.

It has space group Pmn2_1 (No. 31), with a = 8.5370 Å, b = 8.2384 Å, c = 7.2598 Å, α = 90.00°, β = 90.00° and γ = 90.00°. The asymmetric unit holds Na at (0.2438, 0.1673, 0.0000), Cd at (0.0000, 0.3579, 0.4919), Sn at (0.0000, 0.6593, 0.9996), Se at (0.0000, 0.3741, 0.8641), Se at (0.0000, 0.6551, 0.3521) and Se at (0.2440, 0.8226, 0.8995).